[1]
Ti2RuRh2: optimized geometry, GGA-PBE.

```
data_Ti2RuRh2
_chemical_formula_sum 'Ti4 Ru2 Rh4'
_cell_length_a 7.2100
_cell_length_b 7.2100
_cell_length_c 2.9275
_cell_angle_alpha 90.00
_cell_angle_beta 90.00
_cell_angle_gamma 90.00
_space_group_name_H-M_alt 'P 1'
_space_group_IT_number 1
_space_group_name_Hall 'P 1'
loop_
_atom_site_label
_atom_site_type_symbol
_atom_site_fract_x
_atom_site_fract_y
_atom_site_fract_z
Ru1 Ru 0.0000 0.0000 0.0000
Ru2 Ru 0.5000 0.5000 0.0000
Rh1 Rh 0.3669 0.8669 0.0000
Rh2 Rh 0.8669 0.6331 0.0000
Rh3 Rh 0.6331 0.1331 0.0000
Rh4 Rh 0.1331 0.3669 0.0000
Ti1 Ti 0.1691 0.6691 0.5000
Ti2 Ti 0.6691 0.8309 0.5000
Ti3 Ti 0.8309 0.3309 0.5000
Ti4 Ti 0.3309 0.1691 0.5000
```

## Properties
E above lowest polymorph	0.011	eV per atom
symmetry	P4/mbm (127)

***

[2]
TiRuRh2: optimized geometry, GGA-PBE.

```
data_TiRuRh2
_chemical_formula_sum 'Ti1 Ru1 Rh2'
_cell_length_a 4.3655
_cell_length_b 2.7837
_cell_length_c 4.7285
_cell_angle_alpha 90.00
_cell_angle_beta 90.00
_cell_angle_gamma 90.00
_space_group_name_H-M_alt 'P 1'
_space_group_IT_number 1
_space_group_name_Hall 'P 1'
loop_
_atom_site_label
_atom_site_type_symbol
_atom_site_fract_x
_atom_site_fract_y
_atom_site_fract_z
Ru1 Ru 0.0000 0.0000 0.6766
Rh1 Rh 0.5000 0.5000 0.5355
Rh2 Rh 0.0000 0.5000 0.1778
Ti1 Ti 0.5000 0.0000 0.0269
```

## Properties
symmetry	Pmm2 (25)
total energy	-8.39	eV per atom

***

[3]
TiRuRh2: optimized geometry, GGA-PBE.

```
data_TiRuRh2
_chemical_formula_sum 'Ti1 Ru1 Rh2'
_cell_length_a 5.4653
_cell_length_b 2.7793
_cell_length_c 3.7984
_cell_angle_alpha 90.00
_cell_angle_beta 90.00
_cell_angle_gamma 90.00
_space_group_name_H-M_alt 'P 1'
_space_group_IT_number 1
_space_group_name_Hall 'P 1'
loop_
_atom_site_label
_atom_site_type_symbol
_atom_site_fract_x
_atom_site_fract_y
_atom_site_fract_z
Ru1 Ru 0.0000 0.0000 0.0000
Rh1 Rh 0.2455 0.5000 0.5000
Rh2 Rh 0.7545 0.5000 0.5000
Ti1 Ti 0.5000 0.0000 0.0000
```

## Properties
symmetry	Pmmm (47)
total energy	-8.34	eV per atom

***

[4]
TiRu3Rh: optimized geometry, GGA-PBE.

```
data_TiRu3Rh
_chemical_formula_sum 'Ti1 Ru3 Rh1'
_cell_length_a 4.4285
_cell_length_b 4.4285
_cell_length_c 4.4285
_cell_angle_alpha 90.00
_cell_angle_beta 90.00
_cell_angle_gamma 90.00
_space_group_name_H-M_alt 'P 1'
_space_group_IT_number 1
_space_group_name_Hall 'P 1'
loop_
_atom_site_label
_atom_site_type_symbol
_atom_site_fract_x
_atom_site_fract_y
_atom_site_fract_z
Ru1 Ru 0.0000 0.5000 0.0000
Ru2 Ru 0.0000 0.0000 0.5000
Ru3 Ru 0.5000 0.0000 0.0000
Rh1 Rh 0.5000 0.5000 0.5000
Ti1 Ti 0.0000 0.0000 0.0000
```

## Properties
E above lowest polymorph	0.000	eV per atom
symmetry	Pm-3m (221)